No. 1
PmMg10Ag2: relaxed, PBE-GGA.

The space group is Fmmm (No. 69) and the conventional cell measures 5.697, 14.343 and 14.366 Å, with angles of 90.00, 90.00 and 90.00 degrees. Symmetry generates all atoms from Pm at (0.000, 0.000, 0.000), Mg at (0.000, 0.110, 0.397), Mg at (0.000, 0.180, 0.168), Mg at (0.250, 0.000, 0.250) and Ag at (0.250, 0.250, 0.000).

Its formation energy is -0.115 eV per atom. The calculation puts the volume at 22.58 Å³ per atom. As for the crystal system: orthorhombic. The density comes out at 3.42 g/cm3.

---

No. 2
Pm6Mg2Ag: relaxed, PBE-GGA.

The space group is P2_1/c (No. 14) and the conventional cell measures 6.450, 9.700 and 10.124 Å, with angles of 90.00, 117.23 and 90.00 degrees. Symmetry generates all atoms from Pm at (0.074, 0.171, 0.474), Pm at (0.356, 0.692, 0.444), Pm at (0.425, 0.036, 0.300), Mg at (0.123, 0.093, 0.780) and Ag at (0.000, 0.000, 0.000).

Its formation energy is 0.040 eV per atom. The calculation puts the volume at 31.29 Å³ per atom. As for the crystal system: monoclinic. The density comes out at 6.05 g/cm3.

---

No. 3
PmMg3Ag2: relaxed, PBE-GGA.

The space group is P6/mmm (No. 191) and the conventional cell measures 10.2782, 10.2782 and 4.4976 Å, with angles of 90.00, 90.00 and 120.00 degrees. Symmetry generates all atoms from Pm at (0.0000, 0.0000, 0.0000), Pm at (0.3333, 0.6667, 0.5000), Mg at (0.0000, 0.2978, 0.5000), Mg at (0.0000, 0.5000, 0.0000) and Ag at (0.1904, 0.3808, 0.0000).

Its formation energy is -0.213 eV per atom. The calculation puts the volume at 22.86 Å³ per atom. As for the crystal system: hexagonal. The density comes out at 5.25 g/cm3. For the excess energy over the best structure of this formula in the dataset, the calculation gives 0.0 meV per atom.

---

No. 4
Pm2MgAg4: relaxed, PBE-GGA.

The space group is R-3m (No. 166, hexagonal axes) and the conventional cell measures 4.6828, 4.6828 and 28.1078 Å, with angles of 90.00, 90.00 and 120.00 degrees. Symmetry generates all atoms from Pm at (0.0000, 0.0000, 0.2494), Mg at (0.0000, 0.0000, 0.0000), Ag at (0.0000, 0.0000, 0.1399) and Ag at (0.0000, 0.0000, 0.3588).

Its formation energy is -0.110 eV per atom. The calculation puts the volume at 25.42 Å³ per atom. As for the crystal system: trigonal. The density comes out at 6.96 g/cm3. For the excess energy over the best structure of this formula in the dataset, the calculation gives 0.0 meV per atom.

---

No. 5
Pm2Mg3Ag: relaxed, PBE-GGA.

The space group is Pmm2 (No. 25) and the conventional cell measures 3.363, 5.142 and 8.925 Å, with angles of 90.00, 90.00 and 90.00 degrees. Symmetry generates all atoms from Pm at (0.000, 0.000, 0.000), Pm at (0.000, 0.500, 0.477), Mg at (0.500, 0.000, 0.649), Mg at (0.500, 0.500, 0.157), Mg at (0.500, 0.500, 0.819) and Ag at (0.500, 0.000, 0.322).

Its formation energy is -0.137 eV per atom. The calculation puts the volume at 25.73 Å³ per atom. As for the crystal system: orthorhombic. The density comes out at 5.06 g/cm3.

---

No. 6
PmMgAg: relaxed, PBE-GGA.

The space group is P3m1 (No. 156) and the conventional cell measures 4.9578, 4.9578 and 3.4756 Å, with angles of 90.00, 90.00 and 120.00 degrees. Symmetry generates all atoms from Pm at (0.0000, 0.0000, 0.0000), Mg at (0.3333, 0.6667, 0.4990) and Ag at (0.6667, 0.3333, 0.5008).

Its formation energy is -0.188 eV per atom. The calculation puts the volume at 24.66 Å³ per atom. As for the crystal system: trigonal. The density comes out at 6.22 g/cm3. For the excess energy over the best structure of this formula in the dataset, the calculation gives 74.8 meV per atom.

---

No. 7
PmMgAg4: relaxed, PBE-GGA.

The space group is F-43m (No. 216) and the conventional cell measures 7.976, 7.976 and 7.976 Å, with angles of 90.00, 90.00 and 90.00 degrees. Symmetry generates all atoms from Pm at (0.000, 0.000, 0.000), Mg at (0.250, 0.250, 0.750) and Ag at (0.124, 0.124, 0.376).

Its formation energy is -0.201 eV per atom. The calculation puts the volume at 21.14 Å³ per atom. As for the crystal system: cubic. The density comes out at 7.86 g/cm3.

---

No. 8
PmMg5Ag3: relaxed, PBE-GGA.

The space group is Cmcm (No. 63) and the conventional cell measures 3.366, 15.196 and 15.610 Å, with angles of 90.00, 90.00 and 90.00 degrees. Symmetry generates all atoms from Pm at (0.000, 0.160, 0.250), Mg at (0.000, 0.000, 0.000), Mg at (0.000, 0.193, 0.572), Mg at (0.000, 0.464, 0.158), Ag at (0.000, 0.156, 0.750) and Ag at (0.000, 0.372, 0.572).

Its formation energy is -0.139 eV per atom. The calculation puts the volume at 22.18 Å³ per atom. As for the crystal system: orthorhombic. The density comes out at 4.91 g/cm3.

---

It is found that the Fermi-level density of states values, taken in the order of the records, are 25.75, 22.13, 10.82, 12.24, 4.89, 2.61, 19.54, 16.45 states/eV per cell.